(1)
## NaFeW (PBE)

Data for a geometry-optimized NaFeW structure.

Cell lengths 4.1350, 4.1350, 4.1350 Å; angles 60.00, 60.00, 60.00 degrees
Last column: nearest neighbours and their distance in Å.
Element x y z (fractional)
W (0.7500, 0.7500, 0.7500)  4 Fe 2.53
Na (0.2500, 0.2500, 0.2500)  4 Fe 2.53
Fe (0.0000, 0.0000, 0.0000)  4 W 2.53, 4 Na 2.53

Results
**Energy above the most stable polymorph in this dataset**: 0 meV per atom
**M_tot**: 0.000 μB per atom
**Volume**: 50.0 Å³ per cell
**SG**: F-43m

=====

(2)
## BaNaLuS3 (PBE)

Data for a geometry-optimized BaNaLuS3 structure.

Cell lengths 8.3569, 4.1641, 9.2040 Å; angles 90.00, 107.43, 90.00 degrees
Last column: nearest neighbours and their distance in Å.
Element x y z (fractional)
S (0.8840, 0.7500, 0.1265)  1 Na 2.59, 2 Lu 2.77
Ba (0.7757, 0.7500, 0.7515)  7 S 3.17-3.43
Ba (0.2243, 0.2500, 0.2485)  7 S 3.17-3.43
S (0.7429, 0.2500, 0.4623)  3 Na 2.61-2.79, 1 Lu 2.74
S (0.4585, 0.7500, 0.1493)  3 Lu 2.66-2.75
Na (0.0913, 0.2500, 0.5863)  4 S 2.59-2.79, 2 Na 2.78
Lu (0.6746, 0.2500, 0.1515)  6 S 2.66-2.77
S (0.2571, 0.7500, 0.5377)  3 Na 2.61-2.79, 1 Lu 2.74
S (0.5415, 0.2500, 0.8507)  3 Lu 2.66-2.75
S (0.1160, 0.2500, 0.8735)  1 Na 2.59, 2 Lu 2.77
Na (0.9087, 0.7500, 0.4137)  4 S 2.59-2.79, 2 Na 2.78
Lu (0.3254, 0.7500, 0.8485)  6 S 2.66-2.77

Results
**Energy above the most stable polymorph in this dataset**: 1 meV per atom
**M_tot**: 0.000 μB per atom
**Volume**: 305.6 Å³ per cell
**SG**: P2_1/m

=====

(3)
## TbHo2Ni9 (PBE)

Data for a geometry-optimized TbHo2Ni9 structure.

Cell lengths 8.5648, 8.5648, 8.5648 Å; angles 33.54, 33.54, 33.54 degrees
Last column: nearest neighbours and their distance in Å.
Element x y z (fractional)
Ho (0.1391, 0.1391, 0.1391)  12 Ni 2.83-3.06, 3 Ho 3.15
Ni (0.5829, 0.0812, 0.5829)  7 Ni 2.44-2.49
Ni (0.9188, 0.4171, 0.4171)  7 Ni 2.44-2.49
Ni (0.5000, 0.5000, 0.5000)  6 Ni 2.49
Ni (0.4171, 0.9188, 0.4171)  7 Ni 2.44-2.49
Ni (0.5829, 0.5829, 0.0812)  7 Ni 2.44-2.49
Ni (0.3331, 0.3331, 0.3331)  6 Ni 2.44-2.46
Ni (0.6669, 0.6669, 0.6669)  6 Ni 2.44-2.46
Ni (0.0812, 0.5829, 0.5829)  7 Ni 2.44-2.49
Ni (0.4171, 0.4171, 0.9188)  7 Ni 2.44-2.49
Ho (0.8609, 0.8609, 0.8609)  12 Ni 2.83-3.06, 3 Ho 3.15
Tb (0.0000, 0.0000, 0.0000)  18 Ni 2.85-3.18

Results
**M_tot**: 0.072 μB per atom
**Volume**: 170.8 Å³ per cell
**SG**: R-3m
**E_form**: -491 kJ/mol of formula units

=====

(4)
## Gd3HfPb2C2 (PBE)

Data for a geometry-optimized Gd3HfPb2C2 structure.

Cell lengths 3.5696, 3.5696, 16.0509 Å; angles 90.00, 90.00, 120.00 degrees
Last column: nearest neighbours and their distance in Å.
Element x y z (fractional)
Pb (0.3333, 0.6667, 0.2375)  3 Hf 3.24, 3 Gd 3.45, 6 Pb 3.57
C (0.6667, 0.3333, 0.0170)  3 Hf 2.31, 3 Gd 2.55
Gd (0.0000, 0.0000, 0.4100)  3 C 2.47
Gd (0.3333, 0.6667, 0.9230)  3 C 2.55
Gd (0.3333, 0.6667, 0.5812)  3 C 2.48
Hf (0.0000, 0.0000, 0.0820)  3 C 2.31
C (0.6667, 0.3333, 0.4953)  6 Gd 2.47-2.48
Pb (0.0000, 0.0000, 0.7541)  6 Gd 3.41-3.46, 6 Pb 3.57

Results
**M_tot**: 0.003 μB per atom
**Volume**: 177.1 Å³ per cell
**SG**: P3m1

=====

(5)
## UBePd (PBE)

Data for a geometry-optimized UBePd structure.

Cell lengths 4.2346, 4.2346, 4.2346 Å; angles 60.00, 60.00, 60.00 degrees
Last column: nearest neighbours and their distance in Å.
Element x y z (fractional)
Be (0.0000, 0.0000, 0.0000)  4 U 2.59, 4 Pd 2.59
U (0.7500, 0.7500, 0.7500)  4 Be 2.59
Pd (0.2500, 0.2500, 0.2500)  4 Be 2.59

Results
**Energy above the most stable polymorph in this dataset**: 0 meV per atom
**M_tot**: 0.625 μB per atom
**Volume**: 53.7 Å³ per cell
**SG**: F-43m

=====

(6)
## LiMg2Au (PBE)

Data for a geometry-optimized LiMg2Au structure.

Cell lengths 3.3955, 3.3955, 6.4347 Å; angles 90.00, 90.00, 90.00 degrees
Last column: nearest neighbours and their distance in Å.
Element x y z (fractional)
Mg (0.5000, 0.5000, 0.7371)  4 Au 2.84, 4 Li 2.94, 1 Mg 3.05
Au (0.0000, 0.0000, 0.5000)  8 Mg 2.84
Li (0.0000, 0.0000, 0.0000)  8 Mg 2.94, 2 Au 3.22
Mg (0.5000, 0.5000, 0.2629)  4 Au 2.84, 4 Li 2.94, 1 Mg 3.05

Results
**Volume**: 74.2 Å³ per cell
**SG**: P4/mmm

=====

(7)
## LiPr3Ag (PBE)

Data for a geometry-optimized LiPr3Ag structure.

Cell lengths 6.5365, 6.5365, 6.5365 Å; angles 92.03, 92.03, 92.03 degrees
Last column: nearest neighbours and their distance in Å.
Element x y z (fractional)
Pr (0.9164, 0.5836, 0.2500)  1 Ag 3.14, 2 Li 3.26
Ag (0.2500, 0.2500, 0.2500)  2 Li 2.73
Li (0.5000, 0.5000, 0.5000)  2 Ag 2.73
Pr (0.7500, 0.0836, 0.4164)  1 Ag 3.14, 2 Li 3.26
Li (0.0000, 0.0000, 0.0000)  2 Ag 2.73
Pr (0.2500, 0.9164, 0.5836)  1 Ag 3.14, 2 Li 3.26
Pr (0.0836, 0.4164, 0.7500)  1 Ag 3.14, 2 Li 3.26
Ag (0.7500, 0.7500, 0.7500)  2 Li 2.73
Pr (0.4164, 0.7500, 0.0836)  1 Ag 3.14, 2 Li 3.26
Pr (0.5836, 0.2500, 0.9164)  1 Ag 3.14, 2 Li 3.26

Results
**M_tot**: 0.002 μB per atom
**Volume**: 278.7 Å³ per cell
**SG**: R-3c

=====

(8)
## LiLuPb (PBE)

Data for a geometry-optimized LiLuPb structure.

Cell lengths 4.9569, 4.9569, 4.9569 Å; angles 60.00, 60.00, 60.00 degrees
Last column: nearest neighbours and their distance in Å.
Element x y z (fractional)
Lu (0.0000, 0.0000, 0.0000)  4 Pb 3.04, 4 Li 3.04
Li (0.2500, 0.2500, 0.2500)  4 Lu 3.04
Pb (0.7500, 0.7500, 0.7500)  4 Lu 3.04

Results
**M_tot**: 0.000 μB per atom
**Volume**: 86.1 Å³ per cell
**SG**: F-43m

=====

(9)
## Li4AgAs2Pd (PBE)

Data for a geometry-optimized Li4AgAs2Pd structure.

Cell lengths 4.3665, 4.3665, 6.1965 Å; angles 90.00, 90.00, 90.00 degrees
Last column: nearest neighbours and their distance in Å.
Element x y z (fractional)
Li (0.5000, 0.5000, 0.0000)  4 Li 2.72, 4 As 2.72
Ag (0.0000, 0.0000, 0.0000)  4 Li 2.72, 4 As 2.72
Li (0.5000, 0.0000, 0.2609)  4 Li 2.64-2.72, 2 Pd 2.64, 2 Ag 2.72
Li (0.0000, 0.5000, 0.7391)  4 Li 2.64-2.72, 2 Pd 2.64, 2 Ag 2.72
As (0.5000, 0.0000, 0.7389)  4 Li 2.64-2.72, 2 Pd 2.64, 2 Ag 2.72
Pd (0.5000, 0.5000, 0.5000)  4 As 2.64, 4 Li 2.64
As (0.0000, 0.5000, 0.2611)  4 Li 2.64-2.72, 2 Pd 2.64, 2 Ag 2.72
Li (0.0000, 0.0000, 0.5000)  4 As 2.64, 4 Li 2.64

Results
**Volume**: 118.1 Å³ per cell
**SG**: P-4m2

=====

(10)
## AcTcB4 (PBE)

Data for a geometry-optimized AcTcB4 structure.

Cell lengths 5.1584, 5.1584, 5.1584 Å; angles 143.93, 115.13, 76.53 degrees
Last column: nearest neighbours and their distance in Å.
Element x y z (fractional)
B (0.5821, 0.2421, 0.3400)  3 B 1.77-1.89
Ac (0.0000, 0.0000, 0.0000)  12 B 2.72-2.77
B (0.0979, 0.7579, 0.3400)  3 B 1.77-1.89
B (0.9021, 0.2421, 0.6600)  3 B 1.77-1.89
Tc (0.5000, 0.5000, 0.0000)  12 B 2.68-2.81
B (0.4179, 0.7579, 0.6600)  3 B 1.77-1.89

Results
**Energy above the most stable polymorph in this dataset**: 284 meV per atom
**M_tot**: 0.014 μB per atom
**Volume**: 71.6 Å³ per cell
**SG**: Immm

=====

(11)
## ZrU (PBE)

Data for a geometry-optimized ZrU structure.

Cell lengths 4.9346, 7.2326, 4.9358 Å; angles 90.00, 90.00, 90.00 degrees
Last column: nearest neighbours and their distance in Å.
Element x y z (fractional)
U (0.4177, 0.7042, 0.0000)  4 U 2.72
U (0.9157, 0.7042, 0.5000)  4 U 2.72
Zr (0.4215, 0.2575, 0.0000)  6 Zr 3.12-3.46, 5 U 3.22-3.24
Zr (0.4118, 0.9925, 0.5000)  6 Zr 3.12-3.46, 5 U 3.22-3.24
Zr (0.9215, 0.9925, 0.0000)  6 Zr 3.12-3.46, 5 U 3.22-3.24
U (0.4157, 0.5458, 0.5000)  4 U 2.72
U (0.9177, 0.5458, 0.0000)  4 U 2.72
Zr (0.9118, 0.2575, 0.5000)  6 Zr 3.12-3.46, 5 U 3.22-3.24

Results
**Energy above the most stable polymorph in this dataset**: 20 meV per atom
**M_tot**: 0.002 μB per atom
**Volume**: 176.2 Å³ per cell
**SG**: Pbcm
**E_form**: 26 kJ/mol of formula units

=====

(12)
## CsAu2 (PBE)

Data for a geometry-optimized CsAu2 structure.

Cell lengths 6.6838, 6.6838, 6.6838 Å; angles 146.38, 146.38, 48.28 degrees
Last column: nearest neighbours and their distance in Å.
Element x y z (fractional)
Cs (0.0000, 0.0000, 0.0000)  2 Au 3.26
Au (0.2672, 0.2672, 0.0000)  4 Au 2.77
Au (0.7328, 0.7328, 0.0000)  4 Au 2.77

Results
**Volume**: 91.1 Å³ per cell
**SG**: I4/mmm

=====

Number 1: uncorrected energy -6.0788 eV/atom. Number 2: uncorrected energy -5.1079 eV/atom. Number 3: uncorrected energy -5.7484 eV/atom. Number 4: uncorrected energy -6.7136 eV/atom. Number 5: uncorrected energy -6.3633 eV/atom. Number 6: uncorrected energy -2.4448 eV/atom. Number 7: uncorrected energy -3.8557 eV/atom. Number 8: uncorrected energy -3.3123 eV/atom. Number 9: uncorrected energy -3.6761 eV/atom. Number 10: uncorrected energy -6.6011 eV/atom. Number 11: uncorrected energy -9.7873 eV/atom. Number 12: uncorrected energy -2.5934 eV/atom.